A relaxed PdPt2Rh3 crystal, computed with PBE.

Output
The value obtained for the formation energy is 0.80 eV per atom. The value obtained for the total magnetic moment is 0.0 μB per cell. Its calculated total energy is -34.54 eV per cell.

Unit cell a=4.128 b=4.465 c=7.060 alpha=108.43 beta=90.00 gamma=90.00
Sites, in units of the cell vectors:
Pd 0.500 0.000 0.000
Pt 0.000 0.699 0.398
Pt 0.000 0.301 0.602
Rh 0.000 0.108 0.217
Rh 0.000 0.500 0.000
Rh 0.000 0.892 0.783


A relaxed PdPt2Rh5 crystal, computed with PBE.

Output
The value obtained for the formation energy is 0.69 eV per atom. The value obtained for the total magnetic moment is 0.0 μB per cell. Its calculated total energy is -48.53 eV per cell.

Unit cell a=5.536 b=5.292 c=6.966 alpha=89.96 beta=129.98 gamma=90.14
Sites, in units of the cell vectors:
Pd 0.000 0.000 0.000
Pt 0.500 0.500 0.000
Pt 0.500 0.000 0.500
Rh 0.985 0.737 0.661
Rh 0.987 0.261 0.660
Rh 0.013 0.739 0.340
Rh 0.500 0.000 0.000
Rh 0.015 0.263 0.339


A relaxed Pd2PtRh crystal, computed with PBE.

Output
The value obtained for the formation energy is 0.45 eV per atom. The value obtained for the total magnetic moment is 0.0 μB per cell. As for the energy relative to the lowest polymorph listed for this composition: 425 meV per atom. Its calculated total energy is -43.96 eV per cell.

Unit cell a=7.036 b=7.036 c=5.657 alpha=51.54 beta=51.54 gamma=90.00
Sites, in units of the cell vectors:
Rh 0.500 0.500 0.000
Rh 0.250 0.750 0.500
Pd 0.619 0.125 0.250
Pd 0.131 0.625 0.250
Pd 0.375 0.381 0.750
Pd 0.875 0.869 0.750
Pt 0.000 0.000 0.000
Pt 0.750 0.250 0.500


A relaxed Pd2Pt3Rh crystal, computed with PBE.

Output
The value obtained for the formation energy is -0.03 eV per atom. The value obtained for the total magnetic moment is 0.0 μB per cell. Its calculated total energy is -36.06 eV per cell.

Unit cell a=2.783 b=2.783 c=11.829 alpha=90.00 beta=90.00 gamma=90.00
Sites, in units of the cell vectors:
Pd 0.500 0.500 0.831
Pd 0.500 0.500 0.169
Pt 0.000 0.000 0.000
Pt 0.000 0.000 0.662
Pt 0.000 0.000 0.338
Rh 0.500 0.500 0.500


A relaxed Pd3Pt4Rh crystal, computed with PBE.

Output
The value obtained for the formation energy is -0.02 eV per atom. The value obtained for the total magnetic moment is 0.0 μB per cell. As for the energy relative to the lowest polymorph listed for this composition: 0 meV per atom. Its calculated total energy is -47.26 eV per cell.

Unit cell a=3.927 b=3.927 c=8.425 alpha=103.53 beta=103.53 gamma=89.99
Sites, in units of the cell vectors:
Rh 0.500 0.000 0.000
Pt 0.376 0.376 0.753
Pt 0.624 0.624 0.247
Pt 0.124 0.124 0.247
Pt 0.876 0.876 0.753
Pd 0.000 0.500 0.000
Pd 0.749 0.249 0.497
Pd 0.251 0.751 0.503


A relaxed Pd5Pt6Rh crystal, computed with PBE.

Output
The value obtained for the formation energy is -0.03 eV per atom. The value obtained for the total magnetic moment is 0.0 μB per cell. Its calculated total energy is -69.86 eV per cell.

Unit cell a=3.933 b=7.385 c=7.385 alpha=106.42 beta=105.48 gamma=105.48
Sites, in units of the cell vectors:
Rh 0.000 0.000 0.000
Pt 0.248 0.082 0.413
Pt 0.752 0.587 0.918
Pt 0.746 0.246 0.246
Pt 0.254 0.754 0.754
Pt 0.248 0.413 0.082
Pt 0.752 0.918 0.587
Pd 0.500 0.168 0.832
Pd 0.000 0.333 0.667
Pd 0.500 0.500 0.500
Pd 0.000 0.667 0.333
Pd 0.500 0.832 0.168


A relaxed Pd4Pt3Rh2 crystal, computed with PBE.

Output
The value obtained for the formation energy is 0.24 eV per atom. The value obtained for the total magnetic moment is 3.4 μB per cell. As for the energy relative to the lowest polymorph listed for this composition: 87 meV per atom. Its calculated total energy is -51.46 eV per cell.

Unit cell a=5.385 b=5.385 c=6.541 alpha=100.25 beta=100.25 gamma=124.60
Last column: magnetic moment on the atom in μB.
Sites, in units of the cell vectors:
Pd 0.949 0.668 0.617  0.23
Pd 0.668 0.949 0.617  0.23
Pd 0.051 0.332 0.383  0.23
Pd 0.332 0.051 0.383  0.23
Pt 0.500 0.000 0.000  0.22
Pt 0.000 0.000 0.000  0.27
Pt 0.000 0.500 0.000  0.22
Rh 0.610 0.610 0.220  0.93
Rh 0.390 0.390 0.780  0.93


A relaxed PdPt5Rh crystal, computed with PBE.

Output
The value obtained for the formation energy is 0.78 eV per atom. The value obtained for the total magnetic moment is 0.0 μB per cell. As for the energy relative to the lowest polymorph listed for this composition: 670 meV per atom. Its calculated total energy is -37.30 eV per cell.

Unit cell a=8.786 b=6.852 c=6.171 alpha=123.73 beta=135.39 gamma=90.00
Sites, in units of the cell vectors:
Pd 0.313 0.000 0.000
Pt 0.282 0.251 0.501
Pt 0.785 0.500 0.000
Pt 0.781 0.749 0.499
Pt 0.040 0.319 0.000
Pt 0.040 0.681 0.000
Rh 0.290 0.500 0.000


A relaxed PdPt3Rh6 crystal, computed with PBE.

Output
The value obtained for the formation energy is 0.28 eV per atom. The value obtained for the total magnetic moment is 0.0 μB per cell. As for the energy relative to the lowest polymorph listed for this composition: 79 meV per atom. Its calculated total energy is -64.62 eV per cell.

Unit cell a=5.220 b=8.770 c=4.732 alpha=75.31 beta=61.59 gamma=57.17
Sites, in units of the cell vectors:
Pd 0.500 0.500 0.500
Pt 0.863 0.790 0.812
Pt 0.137 0.210 0.188
Pt 0.000 0.000 0.000
Rh 0.937 0.648 0.338
Rh 0.517 0.342 0.070
Rh 0.063 0.352 0.662
Rh 0.483 0.658 0.930
Rh 0.329 0.871 0.383
Rh 0.671 0.129 0.617


A relaxed Pd3Pt8Rh crystal, computed with PBE.

Output
The value obtained for the formation energy is 0.33 eV per atom. The value obtained for the total magnetic moment is 0.0 μB per cell. As for the energy relative to the lowest polymorph listed for this composition: 316 meV per atom. Its calculated total energy is -67.35 eV per cell.

Unit cell a=14.579 b=14.579 c=14.579 alpha=21.19 beta=165.06 gamma=165.06
Sites, in units of the cell vectors:
Pd 0.500 0.750 0.250
Pd 0.500 0.250 0.750
Pd 0.000 0.500 0.500
Pt 0.502 0.830 0.830
Pt 0.498 0.328 0.328
Pt 0.000 0.170 0.672
Pt 0.000 0.672 0.170
Pt 0.502 0.920 0.920
Pt 0.498 0.418 0.418
Pt 0.000 0.080 0.582
Pt 0.000 0.582 0.080
Rh 0.000 0.000 0.000


A relaxed Pd4Pt2Rh crystal, computed with PBE.

Output
The value obtained for the formation energy is 0.18 eV per atom. The value obtained for the total magnetic moment is 0.0 μB per cell. As for the energy relative to the lowest polymorph listed for this composition: 0 meV per atom. Its calculated total energy is -77.92 eV per cell.

Unit cell a=5.452 b=5.452 c=9.434 alpha=99.12 beta=99.12 gamma=119.47
Sites, in units of the cell vectors:
Pd 0.757 0.513 0.010
Pd 0.243 0.487 0.990
Pd 0.487 0.243 0.490
Pd 0.513 0.757 0.510
Pd 0.950 0.557 0.752
Pd 0.443 0.050 0.748
Pd 0.050 0.443 0.248
Pd 0.557 0.950 0.252
Pt 0.750 0.997 0.992
Pt 0.250 0.003 0.008
Pt 0.003 0.250 0.508
Pt 0.997 0.750 0.492
Rh 0.453 0.547 0.750
Rh 0.547 0.453 0.250


A relaxed Pd6Pt8Rh crystal, computed with PBE.

Output
The value obtained for the formation energy is 0.22 eV per atom. The value obtained for the total magnetic moment is 0.7 μB per cell. Its calculated total energy is -83.50 eV per cell.

Unit cell a=7.361 b=7.361 c=6.797 alpha=57.22 beta=57.22 gamma=60.00
Last column: magnetic moment on the atom in μB.
Sites, in units of the cell vectors:
Pd 0.352 0.132 0.899  0.03
Pd 0.868 0.383 0.101  0.03
Pd 0.383 0.648 0.101  0.03
Pd 0.617 0.352 0.899  0.03
Pd 0.132 0.617 0.899  0.03
Pd 0.648 0.868 0.101  0.03
Pt 0.569 0.173 0.402  0.02
Pt 0.827 0.144 0.598  0.02
Pt 0.144 0.431 0.598  0.02
Pt 0.765 0.765 0.704  0.02
Pt 0.235 0.235 0.296  0.02
Pt 0.856 0.569 0.402  0.02
Pt 0.173 0.856 0.402  0.02
Pt 0.431 0.827 0.598  0.02
Rh 0.000 0.000 0.000  0.34


A relaxed PdPtRh2 crystal, computed with PBE.

Output
The value obtained for the formation energy is 0.04 eV per atom. The value obtained for the total magnetic moment is 0.0 μB per cell. As for the energy relative to the lowest polymorph listed for this composition: 34 meV per atom. Its calculated total energy is -25.80 eV per cell.

Unit cell a=3.873 b=3.912 c=3.912 alpha=90.00 beta=90.00 gamma=90.00
Sites, in units of the cell vectors:
Rh 0.000 0.000 0.500
Rh 0.000 0.500 0.000
Pd 0.500 0.500 0.500
Pt 0.500 0.000 0.000


A relaxed PdPtRh crystal, computed with PBE.

Output
The value obtained for the formation energy is 0.07 eV per atom. The value obtained for the total magnetic moment is 3.2 μB per cell. As for the energy relative to the lowest polymorph listed for this composition: 89 meV per atom. Its calculated total energy is -36.76 eV per cell.

Unit cell a=2.762 b=5.374 c=7.345 alpha=60.19 beta=79.16 gamma=75.11
Last column: magnetic moment on the atom in μB.
Sites, in units of the cell vectors:
Pd 0.808 0.247 0.137  0.37
Pd 0.192 0.753 0.863  0.37
Pt 0.863 0.744 0.529  0.35
Pt 0.137 0.256 0.471  0.35
Rh 0.473 0.247 0.807  0.87
Rh 0.527 0.753 0.193  0.87


A relaxed PdPt7Rh4 crystal, computed with PBE.

Output
The value obtained for the formation energy is 0.34 eV per atom. The value obtained for the total magnetic moment is 0.0 μB per cell. Its calculated total energy is -72.85 eV per cell.

Unit cell a=4.768 b=8.391 c=5.772 alpha=81.68 beta=65.61 gamma=73.49
Sites, in units of the cell vectors:
Pd 0.000 0.000 0.000
Pt 0.788 0.915 0.510
Pt 0.212 0.085 0.490
Pt 0.071 0.658 0.200
Pt 0.929 0.342 0.800
Pt 0.359 0.543 0.739
Pt 0.500 0.000 0.000
Pt 0.641 0.457 0.261
Rh 0.574 0.228 0.624
Rh 0.426 0.772 0.376
Rh 0.721 0.681 0.877
Rh 0.279 0.319 0.123


A relaxed Pd3Pt6Rh crystal, computed with PBE.

Output
The value obtained for the formation energy is 0.25 eV per atom. The value obtained for the total magnetic moment is 0.0 μB per cell. Its calculated total energy is -56.72 eV per cell.

Unit cell a=6.951 b=5.336 c=5.336 alpha=58.99 beta=75.08 gamma=75.08
Sites, in units of the cell vectors:
Pd 0.314 0.092 0.092
Pd 0.686 0.908 0.908
Pd 0.000 0.000 0.000
Pt 0.308 0.086 0.585
Pt 0.692 0.415 0.914
Pt 0.692 0.914 0.415
Pt 0.308 0.585 0.086
Pt 0.085 0.649 0.649
Pt 0.915 0.351 0.351
Rh 0.500 0.500 0.500


A relaxed PdPt5Rh6 crystal, computed with PBE.

Output
The value obtained for the formation energy is 0.00 eV per atom. The value obtained for the total magnetic moment is 0.0 μB per cell. Its calculated total energy is -79.52 eV per cell.

Unit cell a=3.910 b=7.303 c=7.303 alpha=106.77 beta=105.50 gamma=105.50
Sites, in units of the cell vectors:
Rh 0.250 0.083 0.417
Rh 0.750 0.583 0.917
Rh 0.750 0.250 0.250
Rh 0.250 0.750 0.750
Rh 0.250 0.417 0.083
Rh 0.750 0.917 0.583
Pt 0.500 0.167 0.833
Pt 0.000 0.334 0.666
Pt 0.500 0.500 0.500
Pt 0.000 0.666 0.334
Pt 0.500 0.833 0.167
Pd 0.000 0.000 0.000


A relaxed PdPt4Rh6 crystal, computed with PBE.

Output
The value obtained for the formation energy is 0.33 eV per atom. The value obtained for the total magnetic moment is 0.0 μB per cell. Its calculated total energy is -69.86 eV per cell.

Unit cell a=7.371 b=7.371 c=7.371 alpha=61.98 beta=137.30 gamma=137.30
Sites, in units of the cell vectors:
Pd 0.000 0.000 0.000
Pt 0.000 0.590 0.109
Pt 0.518 0.410 0.410
Pt 0.000 0.109 0.590
Pt 0.482 0.891 0.891
Rh 0.000 0.893 0.404
Rh 0.000 0.404 0.893
Rh 0.488 0.596 0.596
Rh 0.500 0.500 0.000
Rh 0.512 0.107 0.107
Rh 0.500 0.000 0.500


A relaxed PdPt3Rh6 crystal, computed with PBE.

Output
The value obtained for the formation energy is 0.20 eV per atom. The value obtained for the total magnetic moment is 0.0 μB per cell. As for the energy relative to the lowest polymorph listed for this composition: 0 meV per atom. Its calculated total energy is -130.83 eV per cell.

Unit cell a=5.171 b=8.720 c=8.720 alpha=128.87 beta=90.00 gamma=90.00
Sites, in units of the cell vectors:
Pd 0.022 0.161 0.839
Pd 0.522 0.839 0.161
Pt 0.499 0.942 0.701
Pt 0.999 0.701 0.942
Pt 0.148 0.422 0.578
Pt 0.648 0.578 0.422
Pt 0.999 0.058 0.299
Pt 0.499 0.299 0.058
Rh 0.050 0.757 0.644
Rh 0.551 0.644 0.757
Rh 0.337 0.455 0.900
Rh 0.837 0.900 0.455
Rh 0.279 0.993 0.007
Rh 0.764 0.312 0.688
Rh 0.264 0.688 0.312
Rh 0.779 0.007 0.993
Rh 0.337 0.100 0.545
Rh 0.837 0.545 0.100
Rh 0.050 0.356 0.243
Rh 0.551 0.243 0.356


A relaxed Pd5Pt3Rh2 crystal, computed with PBE.

Output
The value obtained for the formation energy is 0.44 eV per atom. The value obtained for the total magnetic moment is 0.0 μB per cell. Its calculated total energy is -108.87 eV per cell.

Unit cell a=5.123 b=8.673 c=8.673 alpha=98.26 beta=72.82 gamma=72.82
Sites, in units of the cell vectors:
Pd 0.414 0.248 0.924
Pd 0.914 0.924 0.248
Pd 0.586 0.752 0.076
Pd 0.086 0.076 0.752
Pd 0.497 0.753 0.753
Pd 0.503 0.247 0.247
Pd 0.750 0.500 0.500
Pd 0.250 0.500 0.500
Pd 0.003 0.247 0.247
Pd 0.997 0.753 0.753
Pt 0.347 0.499 0.808
Pt 0.847 0.808 0.499
Pt 0.653 0.501 0.192
Pt 0.153 0.192 0.501
Pt 0.250 0.000 0.000
Pt 0.750 0.000 0.000
Rh 0.132 0.580 0.157
Rh 0.632 0.157 0.580
Rh 0.868 0.420 0.843
Rh 0.368 0.843 0.420